1.
Computed, not measured: a geometry-optimized GaNiAs structure at the PBE-GGA level of DFT.

Output
- E_form: -0.28 eV per atom
- Volume: 15.90 Å³/atom

a b c (Å): 4.071 4.071 4.071
angles (deg): 60.00 60.00 60.00
Fractional positions:
Ga1 0.000 0.000 0.000
Ni1 0.750 0.750 0.750
As1 0.500 0.500 0.500


2.
Computed, not measured: a geometry-optimized GaNiAs2 structure at the PBE-GGA level of DFT.

Output
- E_form: 0.38 eV per atom
- Volume: 19.79 Å³/atom

a b c (Å): 8.097 8.097 8.097
angles (deg): 24.32 24.32 24.32
Fractional positions:
Ga1 0.000 0.000 0.000
Ni1 0.500 0.500 0.500
As1 0.405 0.405 0.405
As2 0.595 0.595 0.595


volume of number 2 (GaNiAs2)? 19.79 Å³/atom


Which of these has the highest E_form? GaNiAs2


What is the formula in the second record? GaNiAs2